# 1
Cd2Te2Pb: optimized geometry, PBE.

a b c (Å): 8.6955 8.6955 8.6955
angles (deg): 151.41 151.41 40.87
Closest atoms and distances in Å follow each position.
Element x y z (fractional)
Cd 0.2500 0.7500 0.5000  4 Cd 3.04, 4 Te 3.22
Cd 0.7500 0.2500 0.5000  4 Cd 3.04, 4 Te 3.22
Te 0.1027 0.1027 0.0000  4 Cd 3.22, 1 Te 3.35, 4 Pb 3.47
Te 0.8973 0.8973 0.0000  4 Cd 3.22, 1 Te 3.35, 4 Pb 3.47
Pb 0.5000 0.5000 0.0000  8 Te 3.47

Computed properties:
* E_form (uncorrected): -65 meV per atom
* total energy: -12.14 eV/cell


# 2
Cd2Te2Pb: optimized geometry, PBE.

a b c (Å): 8.5570 8.5570 4.0458
angles (deg): 90.00 90.00 90.00
Closest atoms and distances in Å follow each position.
Element x y z (fractional)
Cd 0.1381 0.3619 0.0000  6 Te 3.12-3.30, 1 Cd 3.34
Cd 0.3619 0.8619 0.0000  6 Te 3.12-3.30, 1 Cd 3.34
Cd 0.6381 0.1381 0.0000  6 Te 3.12-3.30, 1 Cd 3.34
Cd 0.8619 0.6381 0.0000  6 Te 3.12-3.30, 1 Cd 3.34
Te 0.1656 0.6656 0.5000  6 Cd 3.12-3.30, 2 Pb 3.19
Te 0.3344 0.1656 0.5000  6 Cd 3.12-3.30, 2 Pb 3.19
Te 0.6656 0.8344 0.5000  6 Cd 3.12-3.30, 2 Pb 3.19
Te 0.8344 0.3344 0.5000  6 Cd 3.12-3.30, 2 Pb 3.19
Pb 0.0000 0.0000 0.5000  4 Te 3.19
Pb 0.5000 0.5000 0.5000  4 Te 3.19

Computed properties:
* E_form (uncorrected): -96 meV per atom
* total energy: -24.60 eV/cell


# 3
CdTePb: optimized geometry, PBE.

a b c (Å): 5.6534 5.6534 3.2149
angles (deg): 90.00 90.00 120.00
Closest atoms and distances in Å follow each position.
Element x y z (fractional)
Cd 0.0000 0.0000 0.0000  2 Cd 3.21, 3 Te 3.32, 3 Pb 3.54
Te 0.3333 0.6667 0.8035  2 Te 3.21, 3 Cd 3.32, 3 Pb 3.35
Pb 0.6667 0.3333 0.5737  2 Pb 3.21, 3 Te 3.35, 3 Cd 3.54

Computed properties:
* E_form (uncorrected): 21 meV per atom
* total energy: -7.70 eV/cell


# 4
Cd2TePb2: optimized geometry, PBE.

a b c (Å): 7.9260 7.9260 4.6734
angles (deg): 90.00 90.00 90.00
Closest atoms and distances in Å follow each position.
Element x y z (fractional)
Cd 0.1311 0.3689 0.0000  1 Cd 2.94, 2 Te 3.10, 2 Pb 3.25
Cd 0.3689 0.8689 0.0000  1 Cd 2.94, 2 Te 3.10, 2 Pb 3.25
Cd 0.6311 0.1311 0.0000  1 Cd 2.94, 2 Te 3.10, 2 Pb 3.25
Cd 0.8689 0.6311 0.0000  1 Cd 2.94, 2 Te 3.10, 2 Pb 3.25
Te 0.0000 0.0000 0.0000  4 Cd 3.10
Te 0.5000 0.5000 0.0000  4 Cd 3.10
Pb 0.1679 0.6679 0.5000  6 Cd 3.25-3.34
Pb 0.3321 0.1679 0.5000  6 Cd 3.25-3.34
Pb 0.6679 0.8321 0.5000  6 Cd 3.25-3.34
Pb 0.8321 0.3321 0.5000  6 Cd 3.25-3.34

Computed properties:
* E_form (uncorrected): 28 meV per atom
* total energy: -24.49 eV/cell


# 5
Cd2Te2Pb: optimized geometry, PBE.

a b c (Å): 6.2013 6.2013 6.2013
angles (deg): 124.82 124.82 81.83
Closest atoms and distances in Å follow each position.
Element x y z (fractional)
Cd 0.1456 0.1456 0.0000  1 Cd 2.73, 4 Te 3.03
Cd 0.8544 0.8544 0.0000  1 Cd 2.73, 4 Te 3.03
Te 0.2500 0.7500 0.5000  4 Cd 3.03
Te 0.7500 0.2500 0.5000  4 Cd 3.03
Pb 0.5000 0.5000 0.0000  2 Cd 3.32, 8 Te 3.71

Computed properties:
* E_form (uncorrected): -62 meV per atom
* total energy: -12.13 eV/cell


# 6
CdTePb: optimized geometry, PBE.

a b c (Å): 6.1323 6.1294 4.0020
angles (deg): 70.99 70.91 38.10
Closest atoms and distances in Å follow each position.
Element x y z (fractional)
Cd 0.0000 0.0000 0.0000  4 Te 3.22, 5 Pb 3.42-3.51
Te 0.3589 0.3589 0.6411  4 Cd 3.22, 5 Pb 3.45-3.47
Pb 0.6776 0.6776 0.3224  5 Cd 3.42-3.51, 5 Te 3.45-3.47

Computed properties:
* E_form (uncorrected): -46 meV per atom
* total energy: -7.90 eV/cell


# 7
Cd2TePb2: optimized geometry, PBE.

a b c (Å): 9.4442 9.4442 3.3287
angles (deg): 90.00 90.00 90.00
Closest atoms and distances in Å follow each position.
Element x y z (fractional)
Cd 0.1095 0.3905 0.0000  1 Cd 2.92, 2 Pb 3.12
Cd 0.3905 0.8905 0.0000  1 Cd 2.92, 2 Pb 3.12
Cd 0.6095 0.1095 0.0000  1 Cd 2.92, 2 Pb 3.12
Cd 0.8905 0.6095 0.0000  1 Cd 2.92, 2 Pb 3.12
Te 0.0000 0.0000 0.5000  2 Te 3.33, 4 Pb 3.42
Te 0.5000 0.5000 0.5000  2 Te 3.33, 4 Pb 3.42
Pb 0.1929 0.6929 0.5000  6 Cd 3.12-3.40, 2 Pb 3.33, 2 Te 3.42
Pb 0.3071 0.1929 0.5000  6 Cd 3.12-3.40, 2 Pb 3.33, 2 Te 3.42
Pb 0.6929 0.8071 0.5000  6 Cd 3.12-3.40, 2 Pb 3.33, 2 Te 3.42
Pb 0.8071 0.3071 0.5000  6 Cd 3.12-3.40, 2 Pb 3.33, 2 Te 3.42

Computed properties:
* E_form (uncorrected): 18 meV per atom
* total energy: -24.59 eV/cell


# 8
CdTePb: optimized geometry, PBE.

a b c (Å): 5.3519 5.3519 5.3519
angles (deg): 60.00 60.00 60.00
Closest atoms and distances in Å follow each position.
Element x y z (fractional)
Cd 0.0000 0.0000 0.0000  4 Pb 3.28
Te 0.5000 0.5000 0.5000  4 Pb 3.28
Pb 0.2500 0.2500 0.2500  4 Cd 3.28, 4 Te 3.28

Computed properties:
* E_form (uncorrected): -11 meV per atom
* total energy: -7.80 eV/cell


# 9
CdTe3Pb: optimized geometry, PBE.

a b c (Å): 5.8762 5.8762 5.8762
angles (deg): 90.00 90.00 90.00
Closest atoms and distances in Å follow each position.
Element x y z (fractional)
Cd 0.0000 0.0000 0.0000  12 Te 4.16
Te 0.0000 0.5000 0.5000  2 Pb 2.94
Te 0.5000 0.0000 0.5000  2 Pb 2.94
Te 0.5000 0.5000 0.0000  2 Pb 2.94
Pb 0.5000 0.5000 0.5000  6 Te 2.94

Computed properties:
* E_form (uncorrected): 517 meV per atom
* total energy: -11.46 eV/cell


# 10
CdTePb: optimized geometry, PBE.

a b c (Å): 9.9065 9.9065 9.9065
angles (deg): 29.69 29.69 29.69
Closest atoms and distances in Å follow each position.
Element x y z (fractional)
Cd 0.1208 0.1208 0.1208  4 Te 2.98-3.13
Cd 0.8792 0.8792 0.8792  4 Te 2.98-3.13
Te 0.2311 0.2311 0.2311  4 Cd 2.98-3.13
Te 0.7689 0.7689 0.7689  4 Cd 2.98-3.13
Pb 0.3490 0.3490 0.3490  3 Pb 3.06, 1 Te 3.35
Pb 0.6510 0.6510 0.6510  3 Pb 3.06, 1 Te 3.35

Computed properties:
* E_form (uncorrected): -48 meV per atom
* total energy: -15.82 eV/cell


# 11
CdTe3Pb: optimized geometry, PBE.

a b c (Å): 5.5980 5.5980 5.5980
angles (deg): 90.00 90.00 90.00
Closest atoms and distances in Å follow each position.
Element x y z (fractional)
Cd 0.0000 0.0000 0.0000  6 Te 2.80
Te 0.0000 0.0000 0.5000  2 Cd 2.80
Te 0.0000 0.5000 0.0000  2 Cd 2.80
Te 0.5000 0.0000 0.0000  2 Cd 2.80
Pb 0.5000 0.5000 0.5000  12 Te 3.96

Computed properties:
* E_form (uncorrected): 249 meV per atom
* total energy: -12.80 eV/cell


# 12
Cd5Te12Pb3: optimized geometry, PBE.

a b c (Å): 15.4909 15.4909 15.4909
angles (deg): 109.47 109.47 109.47
Closest atoms and distances in Å follow each position.
Element x y z (fractional)
Cd 0.0000 0.0000 0.0000  6 Te 3.00
Cd 0.0000 0.0000 0.5000  6 Te 3.00
Cd 0.0000 0.5000 0.0000  6 Te 3.00
Cd 0.0000 0.5000 0.5000  6 Te 3.00
Cd 0.1250 0.7500 0.8750  4 Te 2.82
Cd 0.1250 0.8750 0.2500  4 Te 2.82
Cd 0.2500 0.1250 0.8750  4 Te 2.82
Cd 0.2500 0.6250 0.3750  4 Te 2.82
Cd 0.3750 0.2500 0.6250  4 Te 2.82
Cd 0.3750 0.6250 0.7500  4 Te 2.82
Cd 0.5000 0.0000 0.0000  6 Te 3.00
Cd 0.5000 0.0000 0.5000  6 Te 3.00
Cd 0.5000 0.5000 0.0000  6 Te 3.00
Cd 0.5000 0.5000 0.5000  6 Te 3.00
Cd 0.6250 0.3750 0.2500  4 Te 2.82
Cd 0.6250 0.7500 0.3750  4 Te 2.82
Cd 0.7500 0.3750 0.6250  4 Te 2.82
Cd 0.7500 0.8750 0.1250  4 Te 2.82
Cd 0.8750 0.1250 0.7500  4 Te 2.82
Cd 0.8750 0.2500 0.1250  4 Te 2.82
Te 0.0457 0.2198 0.1276  2 Cd 2.82-3.00
Te 0.0457 0.3258 0.9180  2 Cd 2.82-3.00
Te 0.0820 0.6276 0.4078  2 Cd 2.82-3.00
Te 0.0820 0.9543 0.6742  2 Cd 2.82-3.00
Te 0.0922 0.7198 0.6742  2 Cd 2.82-3.00
Te 0.0922 0.8724 0.4180  2 Cd 2.82-3.00
Te 0.1276 0.0457 0.2198  2 Cd 2.82-3.00
Te 0.1276 0.5820 0.9078  2 Cd 2.82-3.00
Te 0.1742 0.2198 0.5922  2 Cd 2.82-3.00
Te 0.1742 0.4543 0.5820  2 Cd 2.82-3.00
Te 0.2198 0.1276 0.0457  2 Cd 2.82-3.00
Te 0.2198 0.5922 0.1742  2 Cd 2.82-3.00
Te 0.2802 0.3258 0.9078  2 Cd 2.82-3.00
Te 0.2802 0.4543 0.3724  2 Cd 2.82-3.00
Te 0.3258 0.9078 0.2802  2 Cd 2.82-3.00
Te 0.3258 0.9180 0.0457  2 Cd 2.82-3.00
Te 0.3724 0.2802 0.4543  2 Cd 2.82-3.00
Te 0.3724 0.5922 0.9180  2 Cd 2.82-3.00
Te 0.4078 0.0820 0.6276  2 Cd 2.82-3.00
Te 0.4078 0.8258 0.7802  2 Cd 2.82-3.00
Te 0.4180 0.0922 0.8724  2 Cd 2.82-3.00
Te 0.4180 0.8258 0.5457  2 Cd 2.82-3.00
Te 0.4543 0.3724 0.2802  2 Cd 2.82-3.00
Te 0.4543 0.5820 0.1742  2 Cd 2.82-3.00
Te 0.5457 0.4180 0.8258  2 Cd 2.82-3.00
Te 0.5457 0.6276 0.7198  2 Cd 2.82-3.00
Te 0.5820 0.1742 0.4543  2 Cd 2.82-3.00
Te 0.5820 0.9078 0.1276  2 Cd 2.82-3.00
Te 0.5922 0.1742 0.2198  2 Cd 2.82-3.00
Te 0.5922 0.9180 0.3724  2 Cd 2.82-3.00
Te 0.6276 0.4078 0.0820  2 Cd 2.82-3.00
Te 0.6276 0.7198 0.5457  2 Cd 2.82-3.00
Te 0.6742 0.0820 0.9543  2 Cd 2.82-3.00
Te 0.6742 0.0922 0.7198  2 Cd 2.82-3.00
Te 0.7198 0.5457 0.6276  2 Cd 2.82-3.00
Te 0.7198 0.6742 0.0922  2 Cd 2.82-3.00
Te 0.7802 0.4078 0.8258  2 Cd 2.82-3.00
Te 0.7802 0.8724 0.9543  2 Cd 2.82-3.00
Te 0.8258 0.5457 0.4180  2 Cd 2.82-3.00
Te 0.8258 0.7802 0.4078  2 Cd 2.82-3.00
Te 0.8724 0.4180 0.0922  2 Cd 2.82-3.00
Te 0.8724 0.9543 0.7802  2 Cd 2.82-3.00
Te 0.9078 0.1276 0.5820  2 Cd 2.82-3.00
Te 0.9078 0.2802 0.3258  2 Cd 2.82-3.00
Te 0.9180 0.0457 0.3258  2 Cd 2.82-3.00
Te 0.9180 0.3724 0.5922  2 Cd 2.82-3.00
Te 0.9543 0.6742 0.0820  2 Cd 2.82-3.00
Te 0.9543 0.7802 0.8724  2 Cd 2.82-3.00
Pb 0.1250 0.2500 0.3750  8 Te 3.30-3.42
Pb 0.1250 0.3750 0.7500  8 Te 3.30-3.42
Pb 0.2500 0.3750 0.1250  8 Te 3.30-3.42
Pb 0.2500 0.8750 0.6250  8 Te 3.30-3.42
Pb 0.3750 0.1250 0.2500  8 Te 3.30-3.42
Pb 0.3750 0.7500 0.1250  8 Te 3.30-3.42
Pb 0.6250 0.2500 0.8750  8 Te 3.30-3.42
Pb 0.6250 0.8750 0.7500  8 Te 3.30-3.42
Pb 0.7500 0.1250 0.3750  8 Te 3.30-3.42
Pb 0.7500 0.6250 0.8750  8 Te 3.30-3.42
Pb 0.8750 0.6250 0.2500  8 Te 3.30-3.42
Pb 0.8750 0.7500 0.6250  8 Te 3.30-3.42

Computed properties:
* E_form (uncorrected): -43 meV per atom
* total energy: -217.04 eV/cell